{"formula": "Ir2AuCl", "functional": "PBE", "state": "optimized geometry", "lattice": [[4.7938, 0.0000, 0.0000], [0.0000, 4.7938, 0.0000], [0.0000, 0.0000, 2.8304]], "species": ["Ir", "Ir", "Au", "Cl"], "frac_coords": [[0.0000, 0.0000, 0.0000], [0.5000, 0.5000, 0.0000], [0.5000, 0.0000, 0.5000], [0.0000, 0.5000, 0.5000]], "dos_at_fermi_per_ev_cell": 5.74, "magnetic_moment_mub_per_cell": 0.00, "e_form_raw_ev_per_atom": 1.089}

{"formula": "CsRbNa2", "functional": "PBE", "state": "optimized geometry", "lattice": [[-0.6357, 3.9862, -2.7159], [-3.7959, 2.9282, 0.8286], [5.8306, 9.3403, 7.9867]], "species": ["Cs", "Rb", "Na", "Na"], "frac_coords": [[0.4998, 0.4998, 0.5007], [0.6669, 0.6669, 0.9993], [0.0805, 0.0805, 0.7586], [0.2529, 0.2529, 0.2414]], "dos_at_fermi_per_ev_cell": 3.65, "e_tot_ev_per_cell": -4.05, "magnetic_moment_mub_per_cell": 0.00}

{"formula": "Ta2Ni", "functional": "PBE", "state": "optimized geometry", "lattice": [[-0.3616, -1.6926, 4.1992], [0.5818, -2.7948, -3.5326], [2.6830, 0.1766, 0.3022]], "species": ["Ni", "Ta", "Ta"], "frac_coords": [[0.0000, 0.0000, 0.0000], [0.3333, 0.6667, 0.2759], [0.6667, 0.3333, 0.7241]], "dos_at_fermi_per_ev_cell": 5.25, "e_tot_ev_per_cell": -28.93, "magnetic_moment_mub_per_cell": 0.00}

{"formula": "Li4AgP", "functional": "PBE", "state": "optimized geometry", "lattice": [[0.0000, 3.5519, 3.5519], [3.5519, 0.0000, 3.5519], [3.5519, 3.5519, 0.0000]], "species": ["Li", "Li", "Li", "Li", "Ag", "P"], "frac_coords": [[0.8731, 0.3756, 0.3756], [0.3756, 0.3756, 0.8731], [0.3756, 0.8731, 0.3756], [0.3756, 0.3756, 0.3756], [0.0000, 0.0000, 0.0000], [0.7500, 0.7500, 0.7500]], "dos_at_fermi_per_ev_cell": 1.75, "e_tot_ev_per_cell": -16.00, "magnetic_moment_mub_per_cell": 0.00}

{"formula": "Ce2HoTc9", "functional": "PBE", "state": "optimized geometry", "lattice": [[5.0106, 0.0046, 1.4770], [2.2875, 4.4543, 1.4792], [-0.1279, -0.0720, 9.6755]], "species": ["Ce", "Ce", "Ho", "Tc", "Tc", "Tc", "Tc", "Tc", "Tc", "Tc", "Tc", "Tc"], "frac_coords": [[0.8527, 0.8523, 0.4423], [0.1473, 0.1477, 0.5577], [0.0000, 0.0000, 0.0000], [0.6640, 0.6648, 0.0081], [0.3360, 0.3352, 0.9919], [0.5000, 0.5000, 0.5000], [0.4170, 0.4167, 0.2429], [0.9233, 0.4167, 0.2430], [0.4169, 0.9229, 0.2432], [0.5830, 0.5833, 0.7571], [0.5831, 0.0771, 0.7568], [0.0767, 0.5833, 0.7570]], "dos_at_fermi_per_ev_cell": 16.47, "e_tot_ev_per_cell": -109.82, "magnetic_moment_mub_per_cell": 0.00}

{"formula": "Mg2PbSe", "functional": "PBE", "state": "optimized geometry", "lattice": [[3.7298, 0.0000, 0.0000], [0.0000, 3.7298, 0.0000], [0.0000, 0.0000, 7.4038]], "species": ["Mg", "Mg", "Pb", "Se"], "frac_coords": [[0.0000, 0.0000, 0.9342], [0.5000, 0.5000, 0.2310], [0.0000, 0.0000, 0.4579], [0.5000, 0.5000, 0.8769]], "dos_at_fermi_per_ev_cell": 1.19, "magnetic_moment_mub_per_cell": 0.00, "e_form_raw_ev_per_atom": -0.501}

{"formula": "Na3AsCl6", "functional": "PBE", "state": "optimized geometry", "lattice": [[0.0000, 5.1788, 5.1788], [5.1788, 0.0000, 5.1788], [5.1788, 5.1788, 0.0000]], "species": ["Na", "Na", "Na", "As", "Cl", "Cl", "Cl", "Cl", "Cl", "Cl"], "frac_coords": [[0.7500, 0.7500, 0.7500], [0.2500, 0.2500, 0.2500], [0.5000, 0.5000, 0.5000], [0.0000, 0.0000, 0.0000], [0.2404, 0.7596, 0.2404], [0.7596, 0.2404, 0.2404], [0.7596, 0.2404, 0.7596], [0.2404, 0.2404, 0.7596], [0.7596, 0.7596, 0.2404], [0.2404, 0.7596, 0.7596]], "dos_at_fermi_per_ev_cell": 0.00, "magnetic_moment_mub_per_cell": 0.00, "e_form_raw_ev_per_atom": -1.205}

{"formula": "ScRhS2Cl", "functional": "PBE", "state": "optimized geometry", "lattice": [[-0.3693, -2.9139, 3.9935], [4.5759, -1.7170, -0.8296], [1.8049, 3.4969, 2.7184]], "species": ["Sc", "S", "S", "Rh", "Cl"], "frac_coords": [[0.0000, 0.0000, 0.0000], [0.0000, 0.5000, 0.0000], [0.5000, 0.0000, 0.0000], [0.5000, 0.5000, 0.5000], [0.0000, 0.0000, 0.5000]], "dos_at_fermi_per_ev_cell": 4.44, "magnetic_moment_mub_per_cell": 2.43, "e_form_raw_ev_per_atom": -0.183}